Pu2NpNiS5 | the Alexandria database | GGA-PBE | optimized geometry; spin magnetization = 1.4443 μB per atom; DOS at the Fermi energy = 2.450 states/eV per atom; formation energy (no corrections) = -12.63 eV/f.u.; crystal system = orthorhombic; calculated volume = 19.91 Å³ per atom
1.0
1.900 -8.097 0.000
1.900 8.097 0.000
0.000 0.000 11.651
Pu Np Ni S
4 2 2 10
Direct
0.109 0.891 0.500
0.116 0.884 0.847
0.884 0.116 0.347
0.891 0.109 0.000
0.183 0.817 0.177
0.817 0.183 0.677
0.447 0.553 0.570
0.553 0.447 0.070
0.019 0.981 0.164
0.303 0.697 0.841
0.315 0.685 0.512
0.348 0.652 0.172
0.495 0.505 0.901
0.505 0.495 0.401
0.652 0.348 0.672
0.685 0.315 0.012
0.697 0.303 0.341
0.981 0.019 0.664